1.
Density functional theory data (PBE) for Pr2Al4RuPt3 after structural relaxation.

The structure in CIF format:
```
data_Pr2Al4RuPt3
_cell_length_a 4.349
_cell_length_b 4.349
_cell_length_c 10.159
_cell_angle_alpha 90.00
_cell_angle_beta 90.00
_cell_angle_gamma 90.00
_space_group_name_H-M_alt 'P 1'
_space_group_IT_number 1
loop_
_space_group_symop_operation_xyz
'x,y,z'
loop_
_atom_site_label
_atom_site_type_symbol
_atom_site_fract_x
_atom_site_fract_y
_atom_site_fract_z
Pr1 Pr 0.000 0.500 0.240
Pr2 Pr 0.500 0.000 0.760
Al1 Al 0.000 0.000 0.500
Al2 Al 0.000 0.500 0.879
Al3 Al 0.500 0.000 0.121
Al4 Al 0.500 0.500 0.500
Ru1 Ru 0.500 0.500 0.000
Pt1 Pt 0.000 0.000 0.000
Pt2 Pt 0.000 0.500 0.631
Pt3 Pt 0.500 0.000 0.369
```

Results
total magnetization: 0.0 μB per cell
space group: P-4m2
calculated volume: 19.21 Å³/atom
crystal system: tetragonal
formation enthalpy at 0 K: -1.005 eV/atom
VASP energy: -6.1982 eV per atom

=====

2.
Density functional theory data (PBE) for Pr2ScAl2Pt5 after structural relaxation.

The structure in CIF format:
```
data_Pr2ScAl2Pt5
_cell_length_a 10.559
_cell_length_b 10.559
_cell_length_c 3.458
_cell_angle_alpha 90.00
_cell_angle_beta 90.00
_cell_angle_gamma 90.00
_space_group_name_H-M_alt 'P 1'
_space_group_IT_number 1
loop_
_space_group_symop_operation_xyz
'x,y,z'
loop_
_atom_site_label
_atom_site_type_symbol
_atom_site_fract_x
_atom_site_fract_y
_atom_site_fract_z
Pr1 Pr 0.177 0.323 0.000
Pr2 Pr 0.323 0.823 0.000
Pr3 Pr 0.677 0.177 0.000
Pr4 Pr 0.823 0.677 0.000
Sc1 Sc 0.000 0.000 0.000
Sc2 Sc 0.500 0.500 0.000
Al1 Al 0.124 0.624 0.000
Al2 Al 0.376 0.124 0.000
Al3 Al 0.624 0.876 0.000
Al4 Al 0.876 0.376 0.000
Pt1 Pt 0.000 0.500 0.500
Pt2 Pt 0.057 0.793 0.500
Pt3 Pt 0.207 0.057 0.500
Pt4 Pt 0.293 0.557 0.500
Pt5 Pt 0.443 0.293 0.500
Pt6 Pt 0.500 0.000 0.500
Pt7 Pt 0.557 0.707 0.500
Pt8 Pt 0.707 0.443 0.500
Pt9 Pt 0.793 0.943 0.500
Pt10 Pt 0.943 0.207 0.500
```

Results
total magnetization: 0.0 μB per cell
space group: P4/mbm
calculated volume: 19.28 Å³/atom
crystal system: tetragonal
formation enthalpy at 0 K: -1.024 eV/atom
VASP energy: -6.3815 eV per atom

=====

3.
Density functional theory data (PBE) for Pr2ScAl4Pt3 after structural relaxation.

The structure in CIF format:
```
data_Pr2ScAl4Pt3
_cell_length_a 4.261
_cell_length_b 4.261
_cell_length_c 11.236
_cell_angle_alpha 90.00
_cell_angle_beta 90.00
_cell_angle_gamma 90.00
_space_group_name_H-M_alt 'P 1'
_space_group_IT_number 1
loop_
_space_group_symop_operation_xyz
'x,y,z'
loop_
_atom_site_label
_atom_site_type_symbol
_atom_site_fract_x
_atom_site_fract_y
_atom_site_fract_z
Pr1 Pr 0.000 0.500 0.237
Pr2 Pr 0.500 0.000 0.763
Sc1 Sc 0.000 0.000 0.500
Al1 Al 0.000 0.000 0.000
Al2 Al 0.000 0.500 0.655
Al3 Al 0.500 0.000 0.345
Al4 Al 0.500 0.500 0.000
Pt1 Pt 0.000 0.500 0.876
Pt2 Pt 0.500 0.000 0.124
Pt3 Pt 0.500 0.500 0.500
```

Results
total magnetization: 0.0 μB per cell
space group: P-4m2
calculated volume: 20.40 Å³/atom
crystal system: tetragonal
formation enthalpy at 0 K: -0.945 eV/atom
VASP energy: -5.8434 eV per atom

=====

4.
Density functional theory data (PBE) for Pr2ScAlPt6 after structural relaxation.

The structure in CIF format:
```
data_Pr2ScAlPt6
_cell_length_a 5.703
_cell_length_b 5.703
_cell_length_c 8.743
_cell_angle_alpha 109.08
_cell_angle_beta 109.08
_cell_angle_gamma 60.00
_space_group_name_H-M_alt 'P 1'
_space_group_IT_number 1
loop_
_space_group_symop_operation_xyz
'x,y,z'
loop_
_atom_site_label
_atom_site_type_symbol
_atom_site_fract_x
_atom_site_fract_y
_atom_site_fract_z
Pr1 Pr 0.206 0.206 0.118
Pr2 Pr 0.794 0.794 0.882
Sc1 Sc 0.000 0.000 0.500
Al1 Al 0.500 0.500 0.000
Pt1 Pt 0.247 0.745 0.234
Pt2 Pt 0.255 0.753 0.766
Pt3 Pt 0.256 0.256 0.766
Pt4 Pt 0.744 0.744 0.234
Pt5 Pt 0.745 0.247 0.234
Pt6 Pt 0.753 0.255 0.766
```

Results
total magnetization: 0.0 μB per cell
space group: C2/m
calculated volume: 22.81 Å³/atom
crystal system: monoclinic
formation enthalpy at 0 K: -0.889 eV/atom
VASP energy: -6.4771 eV per atom

=====

> What is the formation enthalpy at 0 K in the fourth record?

-0.889 eV/atom

=====

> Which formula does entry 3 have?

Pr2ScAl4Pt3